Computed, not measured: an optimized crystal structure of AlFe2Mo at the PBE-GGA level of DFT.

Geometry as CIF:
```
data_AlFe2Mo
_chemical_formula_sum 'Al2 Fe4 Mo2'
_space_group_name_H-M_alt 'I -4 m 2'
_space_group_IT_number 119
_space_group_name_Hall 'I -4 -2'
_cell_length_a 3.601
_cell_length_b 3.601
_cell_length_c 8.019
_cell_angle_alpha 90.00
_cell_angle_beta 90.00
_cell_angle_gamma 90.00
loop_
_atom_site_label
_atom_site_type_symbol
_atom_site_fract_x
_atom_site_fract_y
_atom_site_fract_z
Al1 Al 0.000 0.000 0.000
Fe1 Fe 0.000 0.000 0.500
Fe2 Fe 0.000 0.500 0.750
Mo1 Mo 0.000 0.500 0.250
```

Values from the calculation:
**Volume**: 52.0 Å³/f.u.
**Calculated formation energy**: -21 kJ/mol of formula units


Computed, not measured: an optimized crystal structure of Hf3Co2Si3 at the PBE-GGA level of DFT.

Geometry as CIF:
```
data_Hf3Co2Si3
_chemical_formula_sum 'Hf12 Co8 Si12'
_space_group_name_H-M_alt 'C m c m'
_space_group_IT_number 63
_space_group_name_Hall '-C 2c 2'
_cell_length_a 3.823
_cell_length_b 9.941
_cell_length_c 12.807
_cell_angle_alpha 90.00
_cell_angle_beta 90.00
_cell_angle_gamma 90.00
loop_
_atom_site_label
_atom_site_type_symbol
_atom_site_fract_x
_atom_site_fract_y
_atom_site_fract_z
Hf1 Hf 0.000 0.075 0.117
Hf2 Hf 0.000 0.365 0.250
Co1 Co 0.000 0.220 0.582
Si1 Si 0.000 0.336 0.750
Si2 Si 0.000 0.390 0.042
```

Values from the calculation:
**Formation energy (no corrections)**: -0.850 eV per atom
**Volume**: 121.7 Å³/f.u.


Computed, not measured: an optimized crystal structure of Co5Hg3 at the PBE-GGA level of DFT.

Geometry as CIF:
```
data_Co5Hg3
_chemical_formula_sum 'Co20 Hg12'
_space_group_name_H-M_alt 'C 1 2/m 1'
_space_group_IT_number 12
_cell_length_a 4.649
_cell_length_b 15.614
_cell_length_c 7.567
_cell_angle_alpha 90.00
_cell_angle_beta 107.62
_cell_angle_gamma 90.00
loop_
_space_group_symop_operation_xyz
'x,y,z'
'-x,-y,-z'
'-x,y,-z'
'x,-y,z'
'x+1/2,y+1/2,z'
'-x+1/2,-y+1/2,-z'
'-x+1/2,y+1/2,-z'
'x+1/2,-y+1/2,z'
loop_
_atom_site_label
_atom_site_type_symbol
_atom_site_fract_x
_atom_site_fract_y
_atom_site_fract_z
Co1 Co 0.082 0.129 0.157
Co2 Co 0.128 0.424 0.252
Co3 Co 0.248 0.000 0.004
Hg1 Hg 0.000 0.301 0.000
Hg2 Hg 0.000 0.308 0.500
Hg3 Hg 0.190 0.000 0.388
```

Values from the calculation:
**Energy relative to the lowest polymorph listed for this composition**: 0.000 eV/atom
**Volume**: 130.9 Å³/f.u.
**Calculated formation energy**: 348 kJ/mol of formula units